# 1
DFT (PBE) results for an optimized crystal structure of CrFeIr2.

Properties
The density is 15.54 g cm⁻³. The total magnetization comes out at 1.163 μB per cell.

Cell lengths 2.6763, 2.6763, 7.3427 Å; angles 90.00, 90.00, 90.00 degrees
Last column: nearest neighbours and their distance in Å.
Space group P4mm (No. 99)
Symmetry-distinct sites (fractional):
Cr1 0.0000 0.0000 0.0000 x1  4 Ir 2.57, 4 Fe 2.59, 4 Cr 2.68
Fe1 0.5000 0.5000 0.2400 x1  4 Ir 2.58, 4 Cr 2.59, 4 Fe 2.68
Ir1 0.0000 0.0000 0.4797 x1  4 Fe 2.58, 8 Ir 2.68-2.81
Ir2 0.5000 0.5000 0.7624 x1  4 Cr 2.57, 8 Ir 2.68-2.81



# 2
DFT (PBE) results for an optimized crystal structure of CrFeIr2.

Properties
The density is 14.80 g cm⁻³. The total magnetization comes out at 6.503 μB per cell.

Cell lengths 4.4004, 4.4004, 2.8527 Å; angles 90.00, 90.00, 90.00 degrees
Last column: nearest neighbours and their distance in Å.
Space group P4/mmm (No. 123)
Symmetry-distinct sites (fractional):
Cr1 0.0000 0.0000 0.0000 x1  8 Ir 2.62, 2 Cr 2.85
Fe1 0.5000 0.5000 0.0000 x1  8 Ir 2.62, 2 Fe 2.85
Ir1 0.0000 0.5000 0.5000 x2  4 Cr 2.62, 4 Fe 2.62, 2 Ir 2.85



# 3
DFT (PBE) results for an optimized crystal structure of CrFe2Ir8.

Properties
The density is 17.90 g cm⁻³. The total magnetization comes out at 7.320 μB per cell.

Cell lengths 7.9220, 9.9116, 4.0200 Å; angles 90.00, 90.00, 90.00 degrees
Last column: nearest neighbours and their distance in Å.
Space group Cmmm (No. 65)
Symmetry-distinct sites (fractional):
Cr1 0.0000 0.0000 0.0000 x2  12 Ir 2.54-2.73
Fe1 0.0000 0.3846 0.5000 x4  1 Fe 2.29, 2 Ir 2.38
Ir1 0.0000 0.2560 0.0000 x4  2 Fe 2.38, 1 Cr 2.54
Ir2 0.1650 0.1321 0.5000 x8  7 Ir 2.61-2.75, 2 Fe 2.66-2.82, 2 Cr 2.73
Ir3 0.1657 0.5000 0.0000 x4  7 Ir 2.62-2.75, 1 Cr 2.65, 4 Fe 2.66



no.,ΔH_f (0 K) (eV/atom)
1,0.01
2,0.07
3,0.15